The following is a DFT calculation (GGA-PBE) of crystalline Gd2HoBi at its relaxed geometry.

Lattice parameters (Å, degrees): 3.5455 3.5455 36.3725 90.00 90.00 120.00
Space group R-3m (No. 166, hexagonal axes)
Symmetry-distinct sites (fractional):
Gd  0.0000  0.0000  0.0878 x6
Ho  0.0000  0.0000  0.5000 x3
Bi  0.0000  0.0000  0.0000 x3

For the magnetic moment, the calculation gives 14.615 μB/f.u. As for the crystal system: trigonal. The calculation puts the energy above the most stable polymorph in this dataset at 406 meV per atom. The formation enthalpy at 0 K comes out at 0.013 eV per atom.

The following is a DFT calculation (GGA-PBE) of crystalline GdHoBi at its relaxed geometry.

Lattice parameters (Å, degrees): 4.0653 4.0653 10.8017 90.00 90.00 90.00
Space group I4mm (No. 107)
Symmetry-distinct sites (fractional):
Gd  0.0000  0.0000  0.0000 x2
Ho  0.0000  0.0000  0.3135 x2
Bi  0.0000  0.0000  0.6610 x2

For the magnetic moment, the calculation gives 8.107 μB/f.u. As for the crystal system: tetragonal. The formation enthalpy at 0 K comes out at -0.498 eV per atom.

The following is a DFT calculation (GGA-PBE) of crystalline GdHoBi2 at its relaxed geometry.

Lattice parameters (Å, degrees): 4.4913 4.4913 21.9924 90.00 90.00 120.00
Space group R-3m (No. 166, hexagonal axes)
Symmetry-distinct sites (fractional):
Gd  0.0000  0.0000  0.0000 x3
Ho  0.0000  0.0000  0.5000 x3
Bi  0.0000  0.0000  0.2489 x6

For the magnetic moment, the calculation gives 7.022 μB/f.u. As for the crystal system: trigonal. The formation enthalpy at 0 K comes out at -0.872 eV per atom.

The following is a DFT calculation (GGA-PBE) of crystalline Gd2HoBi at its relaxed geometry.

Lattice parameters (Å, degrees): 4.8857 4.8857 4.9313 90.00 90.00 90.00
Space group P4/mmm (No. 123)
Symmetry-distinct sites (fractional):
Gd  0.0000  0.5000  0.0000 x2
Ho  0.0000  0.0000  0.5000 x1
Bi  0.5000  0.5000  0.5000 x1

For the magnetic moment, the calculation gives 15.401 μB/f.u. As for the crystal system: tetragonal. The calculation puts the energy above the most stable polymorph in this dataset at 12 meV per atom. The formation enthalpy at 0 K comes out at -0.381 eV per atom.

The following is a DFT calculation (GGA-PBE) of crystalline GdHo2Bi at its relaxed geometry.

Lattice parameters (Å, degrees): 4.9181 4.9181 4.7945 90.00 90.00 90.00
Space group P4/mmm (No. 123)
Symmetry-distinct sites (fractional):
Gd  0.0000  0.0000  0.0000 x1
Ho  0.0000  0.5000  0.5000 x2
Bi  0.5000  0.5000  0.0000 x1

For the magnetic moment, the calculation gives 7.982 μB/f.u. As for the crystal system: tetragonal. The calculation puts the energy above the most stable polymorph in this dataset at 0 meV per atom. The formation enthalpy at 0 K comes out at -0.354 eV per atom.

The following is a DFT calculation (GGA-PBE) of crystalline LiGdHoBi at its relaxed geometry.

Lattice parameters (Å, degrees): 7.5414 7.5414 7.5414 90.00 90.00 90.00
Space group F-43m (No. 216)
Symmetry-distinct sites (fractional):
Li  0.0000  0.0000  0.0000 x4
Gd  0.2500  0.2500  0.2500 x4
Ho  0.2500  0.2500  0.7500 x4
Bi  0.0000  0.0000  0.5000 x4

For the magnetic moment, the calculation gives 7.892 μB/f.u. As for the crystal system: cubic. The formation enthalpy at 0 K comes out at -0.308 eV per atom.

The following is a DFT calculation (GGA-PBE) of crystalline Gd2BiI at its relaxed geometry.

Lattice parameters (Å, degrees): 7.7962 7.7962 7.7962 90.00 90.00 90.00
Space group Fm-3m (No. 225)
Symmetry-distinct sites (fractional):
Gd  0.2500  0.2500  0.2500 x8
Bi  0.0000  0.0000  0.0000 x4
I  0.0000  0.0000  0.5000 x4

The value obtained for the formation energy (no corrections) is -78.3 kJ/mol of atoms. For the magnetic moment, the calculation gives 15.453 μB/f.u. As for the crystal system: cubic. The calculation puts the energy above the most stable polymorph in this dataset at 14 meV per atom.

The following is a DFT calculation (GGA-PBE) of crystalline Gd2BiI at its relaxed geometry.

Lattice parameters (Å, degrees): 4.5817 4.5817 21.2161 90.00 90.00 120.00
Space group R-3m (No. 166, hexagonal axes)
Symmetry-distinct sites (fractional):
Gd  0.0000  0.0000  0.2464 x6
Bi  0.0000  0.0000  0.5000 x3
I  0.0000  0.0000  0.0000 x3

The value obtained for the formation energy (no corrections) is -79.6 kJ/mol of atoms. For the magnetic moment, the calculation gives 13.837 μB/f.u. As for the crystal system: trigonal. The calculation puts the energy above the most stable polymorph in this dataset at 0 meV per atom.

Going through the records in order, we get calculated volume values of 396, 179, 384, 118, 116, 429, 474, 386 Å³/cell.